1.
A plane-wave DFT calculation with PBE was carried out for an optimized crystal structure of BeFeH2Br.

The calculation puts the total energy at -15.426 eV per cell.

Structure (POSCAR):
```
BeFeH2Br
1.0
3.362 0.000 0.000
0.000 3.362 0.000
0.000 0.000 7.677
Be Fe H Br
1 1 2 1
direct
0.000 0.000 0.000
0.500 0.500 0.000
0.000 0.500 0.500
0.500 0.000 0.500
0.000 0.000 0.500
```

2.
A plane-wave DFT calculation with PBE was carried out for an optimized crystal structure of LaBe2Tc.

For the energy relative to the lowest polymorph listed for this composition, the calculation gives 470 meV/atom.

Structure (POSCAR):
```
LaBe2Tc
1.0
0.000 3.198 3.198
3.198 0.000 3.198
3.198 3.198 0.000
La Be Tc
1 2 1
direct
0.000 0.000 0.000
0.250 0.250 0.250
0.750 0.750 0.750
0.500 0.500 0.500
```

3.
A plane-wave DFT calculation with PBE was carried out for an optimized crystal structure of ReSbPAu2.

For the uncorrected formation energy, the calculation gives 1.743 eV/atom.

Structure (POSCAR):
```
ReSbPAu2
1.0
5.099 0.000 0.000
0.000 5.099 0.000
0.000 0.000 5.225
Re Sb P Au
1 1 1 2
direct
0.000 0.000 0.000
0.500 0.500 0.500
0.500 0.500 0.000
0.000 0.500 0.500
0.500 0.000 0.500
```

4.
A plane-wave DFT calculation with PBE was carried out for an optimized crystal structure of InGa4Ir.

For the energy relative to the lowest polymorph listed for this composition, the calculation gives 4 meV/atom.

Structure (POSCAR):
```
InGa4Ir
1.0
3.646 -7.186 0.000
3.646 7.186 0.000
-2.322 0.000 5.031
In Ga Ir
2 8 2
direct
0.188 0.812 0.750
0.812 0.188 0.250
0.152 0.224 0.840
0.224 0.152 0.340
0.260 0.560 0.411
0.440 0.740 0.089
0.560 0.260 0.911
0.740 0.440 0.589
0.776 0.848 0.660
0.848 0.776 0.160
0.483 0.517 0.750
0.517 0.483 0.250
```

5.
A plane-wave DFT calculation with PBE was carried out for an optimized crystal structure of BAu2C.

For the energy relative to the lowest polymorph listed for this composition, the calculation gives 501 meV/atom.

Structure (POSCAR):
```
BAu2C
1.0
3.096 0.000 0.000
-0.002 4.357 0.000
-1.538 -0.450 4.505
B Au C
1 2 1
direct
0.000 0.000 0.000
0.316 0.936 0.631
0.546 0.395 0.093
0.096 0.732 0.191
```

6.
A plane-wave DFT calculation with PBE was carried out for an optimized crystal structure of KRbGa2N.

For the uncorrected formation energy, the calculation gives 1.241 eV/atom.

Structure (POSCAR):
```
KRbGa2N
1.0
5.968 0.000 0.000
0.000 5.968 0.000
0.000 0.000 4.902
K Rb Ga N
1 1 2 1
direct
0.000 0.000 0.000
0.500 0.500 0.500
0.000 0.500 0.000
0.500 0.000 0.000
0.000 0.000 0.500
```

7.
A plane-wave DFT calculation with PBE was carried out for an optimized crystal structure of Ga2Pb2S.

For the uncorrected formation energy, the calculation gives 0.065 eV/atom. For the energy relative to the lowest polymorph listed for this composition, the calculation gives 0 meV/atom.

Structure (POSCAR):
```
Ga2Pb2S
1.0
6.692 0.000 0.000
0.000 6.692 0.000
0.000 0.000 5.479
Ga Pb S
4 4 2
direct
0.142 0.358 0.000
0.358 0.858 0.000
0.642 0.142 0.000
0.858 0.642 0.000
0.187 0.687 0.500
0.313 0.187 0.500
0.687 0.813 0.500
0.813 0.313 0.500
0.000 0.000 0.000
0.500 0.500 0.000
```

8.
A plane-wave DFT calculation with PBE was carried out for an optimized crystal structure of Cs2Na9Tl6.

The calculation puts the total energy at -28.004 eV per cell.

Structure (POSCAR):
```
Cs2Na9Tl6
1.0
7.037 0.000 0.000
-3.518 6.094 0.000
0.000 0.000 15.729
Cs Na Tl
2 9 6
direct
0.000 0.000 0.175
0.000 0.000 0.825
0.000 0.500 0.000
0.000 0.500 0.338
0.000 0.500 0.662
0.500 0.000 0.000
0.500 0.000 0.338
0.500 0.000 0.662
0.500 0.500 0.000
0.500 0.500 0.338
0.500 0.500 0.662
0.333 0.667 0.169
0.333 0.667 0.500
0.333 0.667 0.831
0.667 0.333 0.169
0.667 0.333 0.500
0.667 0.333 0.831
```

9.
A plane-wave DFT calculation with PBE was carried out for an optimized crystal structure of LiY5Se6.

For the uncorrected formation energy, the calculation gives -1.766 eV/atom.

Structure (POSCAR):
```
LiY5Se6
1.0
3.515 -6.089 0.000
3.515 6.089 0.000
-2.351 0.000 6.646
Li Y Se
1 5 6
direct
0.000 0.000 0.000
0.167 0.833 0.500
0.335 0.665 0.000
0.500 0.500 0.500
0.665 0.335 0.000
0.833 0.167 0.500
0.081 0.405 0.245
0.241 0.241 0.757
0.405 0.081 0.245
0.595 0.919 0.755
0.759 0.759 0.243
0.919 0.595 0.755
```

10.
A plane-wave DFT calculation with PBE was carried out for an optimized crystal structure of AcLa4Nd3Se8.

For the uncorrected formation energy, the calculation gives -1.918 eV/atom.

Structure (POSCAR):
```
AcLa4Nd3Se8
1.0
4.308 2.487 7.018
-4.308 2.487 7.018
0.000 -4.974 7.018
Ac La Nd Se
1 4 3 8
direct
0.000 0.000 0.000
0.000 0.000 0.500
0.000 0.500 0.000
0.500 0.000 0.000
0.500 0.500 0.500
0.000 0.500 0.500
0.500 0.000 0.500
0.500 0.500 0.000
0.251 0.251 0.251
0.253 0.253 0.743
0.253 0.743 0.253
0.257 0.747 0.747
0.743 0.253 0.253
0.747 0.257 0.747
0.747 0.747 0.257
0.749 0.749 0.749
```

11.
A plane-wave DFT calculation with PBE was carried out for an optimized crystal structure of Al4Sb3.

For the uncorrected formation energy, the calculation gives 0.191 eV/atom. For the energy relative to the lowest polymorph listed for this composition, the calculation gives 0 meV/atom.

Structure (POSCAR):
```
Al4Sb3
1.0
-1.852 1.852 11.259
1.852 -1.852 11.259
1.852 1.852 -11.259
Al Sb
4 3
direct
0.068 0.068 0.000
0.364 0.364 0.000
0.636 0.636 0.000
0.932 0.932 0.000
0.197 0.197 0.000
0.500 0.500 0.000
0.803 0.803 0.000
```

12.
A plane-wave DFT calculation with PBE was carried out for an optimized crystal structure of ScTi2Pt.

For the energy relative to the lowest polymorph listed for this composition, the calculation gives 0 meV/atom.

Structure (POSCAR):
```
ScTi2Pt
1.0
0.000 3.225 3.225
3.225 0.000 3.225
3.225 3.225 0.000
Sc Ti Pt
1 2 1
direct
0.000 0.000 0.000
0.250 0.250 0.250
0.750 0.750 0.750
0.500 0.500 0.500
```